{
  "formula": "Y2Zn2Pt",
  "functional": "PBE",
  "state": "relaxed",
  "relative_energy_kj_per_mol_atoms": 33.2,
  "crystal_system": "tetragonal",
  "lattice_angstrom": [[-5.413, -4.909, -1.377], [-6.402, -2.082, 3.159], [4.580, 5.367, -2.347]],
  "species": ["Y", "Y", "Zn", "Zn", "Pt"],
  "fractional_positions": [[0.400, 0.400, 0.000], [0.600, 0.600, 0.000], [0.250, 0.750, 0.500], [0.750, 0.250, 0.500], [0.000, 0.000, 0.000]]
}

{
  "formula": "Y2Zn3Pt4",
  "functional": "PBE",
  "state": "relaxed",
  "crystal_system": "orthorhombic",
  "lattice_angstrom": [[2.800, -7.595, 0.000], [2.800, 7.595, 0.000], [0.000, 0.000, 7.594]],
  "species": ["Pt", "Pt", "Pt", "Pt", "Pt", "Pt", "Pt", "Pt", "Y", "Y", "Y", "Y", "Zn", "Zn", "Zn", "Zn", "Zn", "Zn"],
  "fractional_positions": [[0.323, 0.677, 0.527], [0.808, 0.692, 0.750], [0.177, 0.823, 0.027], [0.192, 0.308, 0.250], [0.823, 0.177, 0.973], [0.677, 0.323, 0.473], [0.692, 0.808, 0.250], [0.308, 0.192, 0.750], [0.611, 0.389, 0.087], [0.389, 0.611, 0.913], [0.111, 0.889, 0.413], [0.889, 0.111, 0.587], [0.500, 0.500, 0.500], [0.021, 0.479, 0.250], [0.000, 0.000, 0.000], [0.479, 0.021, 0.750], [0.979, 0.521, 0.750], [0.521, 0.979, 0.250]]
}

{
  "formula": "YZn2Pt",
  "functional": "PBE",
  "state": "relaxed",
  "crystal_system": "cubic",
  "lattice_angstrom": [[-1.770, 2.446, 3.591], [-4.484, 1.379, -0.084], [-3.121, -1.991, 2.882]],
  "species": ["Zn", "Zn", "Y", "Pt"],
  "fractional_positions": [[0.000, 0.000, 0.000], [0.250, 0.250, 0.250], [0.750, 0.750, 0.750], [0.500, 0.500, 0.500]]
}

Energy: -4.4638; -5.4464; -4.3453 (eV per atom)